## Re2HgPt (PBEsol)

Data for crystalline Re2HgPt at its relaxed geometry.

Calculated values
M_tot   0.0 Bohr magnetons per cell
N(E_F)   0.891 states/eV per atom
Formation energy   59 kJ per mole of atoms
ρ   20.36 g/cm3
SG   Cmmm

Unit cell a=2.711 b=5.042 c=5.042 alpha=114.63 beta=90.00 gamma=90.00
Atoms (fractional coordinates):
Re 0.000 0.500 0.000
Re 0.000 0.000 0.500
Pt 0.500 0.500 0.500
Hg 0.500 0.000 0.000

***

## Re2HgPt (PBEsol)

Data for crystalline Re2HgPt at its relaxed geometry.

Calculated values
M_tot   0.0 Bohr magnetons per cell
N(E_F)   0.747 states/eV per atom
Formation energy   59 kJ per mole of atoms
ρ   20.30 g/cm3
SG   P4/mmm

Unit cell a=3.825 b=3.825 c=4.294 alpha=90.00 beta=90.00 gamma=90.00
Atoms (fractional coordinates):
Pt 0.000 0.000 0.500
Re 0.500 0.000 0.000
Re 0.000 0.500 0.000
Hg 0.500 0.500 0.500

***

## ReHgRu2Pt (PBEsol)

Data for crystalline ReHgRu2Pt at its relaxed geometry.

Calculated values
M_tot   0.0 Bohr magnetons per cell
N(E_F)   1.430 states/eV per atom
Formation energy   150 kJ per mole of atoms
ρ   12.78 g/cm3
SG   P4/mmm

Unit cell a=4.609 b=4.609 c=4.795 alpha=90.00 beta=90.00 gamma=90.00
Atoms (fractional coordinates):
Pt 0.000 0.000 0.500
Ru 0.500 0.000 0.000
Ru 0.000 0.500 0.000
Re 0.000 0.000 0.000
Hg 0.500 0.500 0.500

***

## HgPtRh2 (PBEsol)

Data for crystalline HgPtRh2 at its relaxed geometry.

Calculated values
M_tot   0.0 Bohr magnetons per cell
N(E_F)   1.387 states/eV per atom
Formation energy   14 kJ per mole of atoms
ρ   16.39 g/cm3
SG   Cmmm

Unit cell a=2.788 b=4.790 c=4.790 alpha=107.67 beta=90.00 gamma=90.00
Atoms (fractional coordinates):
Rh 0.000 0.000 0.500
Rh 0.000 0.500 0.000
Hg 0.500 0.000 0.000
Pt 0.500 0.500 0.500

***

Repeat the second record exactly.
## Re2HgPt (PBEsol)

Data for crystalline Re2HgPt at its relaxed geometry.

Calculated values
M_tot   0.0 Bohr magnetons per cell
N(E_F)   0.747 states/eV per atom
Formation energy   59 kJ per mole of atoms
ρ   20.30 g/cm3
SG   P4/mmm

Unit cell a=3.825 b=3.825 c=4.294 alpha=90.00 beta=90.00 gamma=90.00
Atoms (fractional coordinates):
Pt 0.000 0.000 0.500
Re 0.500 0.000 0.000
Re 0.000 0.500 0.000
Hg 0.500 0.500 0.500

***

Question: N(E_F) of number 1 (Re2HgPt)?
Answer: 0.891 states/eV per atom

***

Question: Which value of formation energy does entry 1 give?
Answer: 59 kJ per mole of atoms